# Nb2ReSn

Nb2ReSn after structural relaxation (PBE, Alexandria via LeMat-Bulk).

Calculated values
As for the space group: No. 122. The energy relative to the elements is 0.5151 eV/atom.

```
Nb2ReSn
1.0
7.663 0.000 0.000
0.000 7.663 0.000
0.000 0.000 5.563
Nb Re Sn
8 4 4
direct
0.198 0.250 0.125
0.250 0.698 0.375
0.250 0.802 0.875
0.302 0.250 0.625
0.698 0.750 0.625
0.750 0.198 0.875
0.750 0.302 0.375
0.802 0.750 0.125
0.000 0.000 0.000
0.000 0.500 0.250
0.500 0.000 0.750
0.500 0.500 0.500
0.000 0.000 0.500
0.000 0.500 0.750
0.500 0.000 0.250
0.500 0.500 0.000
```

***

# Ba2ErCu2O6

Ba2ErCu2O6 after structural relaxation (PBE, Alexandria via LeMat-Bulk).

Calculated values
As for the space group: No. 166. The formation energy from raw total energies comes out at -1933 meV per atom.

```
Ba2ErCu2O6
1.0
3.015 1.741 5.792
-3.015 1.741 5.792
0.000 -3.481 5.792
Ba Er Cu O
2 1 2 6
direct
0.216 0.216 0.216
0.784 0.784 0.784
0.000 0.000 0.000
0.421 0.421 0.421
0.579 0.579 0.579
0.232 0.755 0.755
0.245 0.245 0.768
0.245 0.768 0.245
0.755 0.232 0.755
0.755 0.755 0.232
0.768 0.245 0.245
```

***

# Sm3ErTm6

Sm3ErTm6 after structural relaxation (PBE, Alexandria via LeMat-Bulk).

Calculated values
As for the space group: No. 36. The energy relative to the elements is 0.1516 eV/atom. As for the distance to the lowest polymorph of the same formula: 0.128 eV per atom.

```
Sm3ErTm6
1.0
5.476 -9.418 0.000
5.476 9.418 0.000
0.000 0.000 6.167
Sm Er Tm
6 2 12
direct
0.108 0.892 0.500
0.219 0.438 0.894
0.438 0.219 0.394
0.562 0.781 0.894
0.781 0.562 0.394
0.892 0.108 0.000
0.293 0.707 0.581
0.707 0.293 0.081
0.039 0.461 0.301
0.116 0.212 0.470
0.212 0.116 0.970
0.218 0.782 0.074
0.453 0.547 0.352
0.461 0.039 0.801
0.539 0.961 0.301
0.547 0.453 0.852
0.782 0.218 0.574
0.788 0.884 0.470
0.884 0.788 0.970
0.961 0.539 0.801
```